Record 1
VASP calculation (PBE) on crystalline LaTb12Sc3 at its relaxed geometry.

Computed properties:
Raw total energy: -4.9273 eV/atom
Formation energy from the elements: 3.91 kJ/mol of atoms

Geometry as POSCAR:
```
LaTb12Sc3
1.0
4.978 0.000 0.000
0.000 4.978 0.000
0.000 0.000 19.876
La Tb Sc
1 12 3
Cartesian
0.000 0.000 0.000
0.000 2.489 2.623
0.000 2.489 7.499
0.000 2.489 12.377
0.000 2.489 17.253
2.489 0.000 2.623
2.489 0.000 7.499
2.489 0.000 12.377
2.489 0.000 17.253
2.489 2.489 0.000
2.489 2.489 5.085
2.489 2.489 9.938
2.489 2.489 14.791
0.000 0.000 5.046
0.000 0.000 9.938
0.000 0.000 14.830
```

Record 2
VASP calculation (PBE) on crystalline Li2TlVS at its relaxed geometry.

Computed properties:
Raw total energy: -4.1592 eV/atom
Formation energy without anion corrections: -271 meV/atom

Geometry as POSCAR:
```
Li2TlVS
1.0
4.452 0.000 0.000
0.000 4.452 0.000
0.000 0.000 4.478
Li Tl V S
2 1 1 1
Cartesian
0.000 2.226 0.000
2.226 0.000 0.000
0.000 0.000 2.239
2.226 2.226 2.239
2.226 2.226 0.000
```

Record 3
VASP calculation (PBE) on crystalline BaSbSN2 at its relaxed geometry.

Computed properties:
Raw total energy: -3.7928 eV/atom
Formation energy without anion corrections: 1572 meV/atom
Excess energy over the best structure of this formula in the dataset: 1416 meV/atom

Geometry as POSCAR:
```
BaSbSN2
1.0
4.531 0.000 0.000
0.000 4.531 0.000
0.000 0.000 6.127
Ba Sb S N
1 1 1 2
Cartesian
0.000 0.000 0.000
2.265 2.265 3.063
0.000 0.000 3.063
0.000 2.265 0.000
2.265 0.000 0.000
```

Record 4
VASP calculation (PBE) on crystalline SrMn2Se at its relaxed geometry.

Computed properties:
Raw total energy: -6.1067 eV/atom
Formation energy without anion corrections: -230 meV/atom

Geometry as POSCAR:
```
SrMn2Se
1.0
2.019 1.166 5.851
-2.019 1.166 5.851
0.000 -2.332 5.851
Sr Mn Se
1 2 1
Cartesian
0.000 0.000 0.000
0.000 0.000 3.521
0.000 0.000 8.999
0.000 0.000 13.849
```